(1)
A plane-wave DFT calculation with GGA-PBE was carried out for CaSc2Br after structural relaxation.

Values from the calculation:
ΔE_f (raw) in eV per atom: -0.10

a b c (Å): 7.1087 7.1087 7.1087
angles (deg): 145.29 145.29 49.91
Closest atoms and distances in Å follow each position.
Fractional coordinates of all 4 atoms:
Sc 0.0000 0.0000 0.0000  4 Sc 3.00
Sc 0.5000 0.5000 0.0000  4 Sc 3.00
Ca 0.7500 0.2500 0.5000  4 Br 3.00
Br 0.2500 0.7500 0.5000  4 Ca 3.00

(2)
A plane-wave DFT calculation with GGA-PBE was carried out for TeRhW after structural relaxation.

Values from the calculation:
ΔE_f (raw) in eV per atom: 0.40

a b c (Å): 4.4115 4.4115 4.4115
angles (deg): 60.00 60.00 60.00
Closest atoms and distances in Å follow each position.
Fractional coordinates of all 3 atoms:
Te 0.5000 0.5000 0.5000  4 W 2.70
Rh 0.0000 0.0000 0.0000  4 W 2.70
W 0.7500 0.7500 0.7500  4 Te 2.70, 4 Rh 2.70

(3)
A plane-wave DFT calculation with GGA-PBE was carried out for Cd2SnRu2 after structural relaxation.

Values from the calculation:
Raw total energy in eV/atom: -4.76

a b c (Å): 6.6785 6.6785 4.3216
angles (deg): 90.00 90.00 90.00
Closest atoms and distances in Å follow each position.
Fractional coordinates of all 10 atoms:
Ru 0.3671 0.8671 0.0000  1 Ru 2.51, 2 Sn 2.61
Ru 0.8671 0.6329 0.0000  1 Ru 2.51, 2 Sn 2.61
Ru 0.6329 0.1329 0.0000  1 Ru 2.51, 2 Sn 2.61
Ru 0.1329 0.3671 0.0000  1 Ru 2.51, 2 Sn 2.61
Sn 0.0000 0.0000 0.0000  4 Ru 2.61
Sn 0.5000 0.5000 0.0000  4 Ru 2.61
Cd 0.1641 0.6641 0.5000  6 Ru 2.89-2.94, 1 Cd 3.10
Cd 0.6641 0.8359 0.5000  6 Ru 2.89-2.94, 1 Cd 3.10
Cd 0.8359 0.3359 0.5000  6 Ru 2.89-2.94, 1 Cd 3.10
Cd 0.3359 0.1641 0.5000  6 Ru 2.89-2.94, 1 Cd 3.10

(4)
A plane-wave DFT calculation with GGA-PBE was carried out for KTc after structural relaxation.

Values from the calculation:
Raw total energy in eV/atom: -4.78

a b c (Å): 2.7933 4.4587 9.9953
angles (deg): 90.00 90.00 90.00
Closest atoms and distances in Å follow each position.
Fractional coordinates of all 4 atoms:
K 0.0000 0.0000 0.9502  2 K 2.79
K 0.0000 0.5000 0.3832  2 K 2.79
Tc 0.5000 0.0000 0.6337  2 Tc 2.32
Tc 0.5000 0.5000 0.6996  2 Tc 2.32

(5)
A plane-wave DFT calculation with GGA-PBE was carried out for CuTeIr2 after structural relaxation.

Values from the calculation:
ΔE_f (raw) in eV per atom: 0.65

a b c (Å): 2.9069 2.9069 9.3548
angles (deg): 90.00 90.00 120.84
Closest atoms and distances in Å follow each position.
Fractional coordinates of all 4 atoms:
Cu 0.5000 0.5000 0.7698  2 Ir 2.56
Ir 0.0000 0.0000 0.9965  2 Cu 2.56, 2 Ir 2.65
Ir 0.5000 0.5000 0.2344  8 Ir 2.65-2.91, 2 Te 2.86
Te 0.0000 0.0000 0.4993  2 Ir 2.86, 6 Te 2.87-2.91, 2 Cu 2.91

(6)
A plane-wave DFT calculation with GGA-PBE was carried out for Nd12Tl6Cu after structural relaxation.

Values from the calculation:
Raw total energy in eV/atom: -4.13

a b c (Å): 8.4419 8.4419 8.4419
angles (deg): 93.18 93.18 93.18
Closest atoms and distances in Å follow each position.
Fractional coordinates of all 19 atoms:
Nd 0.8060 0.5533 0.4407  4 Tl 3.23-3.35, 4 Nd 3.55-3.59
Nd 0.4407 0.8060 0.5533  4 Tl 3.23-3.35, 4 Nd 3.55-3.59
Nd 0.5533 0.4407 0.8060  4 Tl 3.23-3.35, 4 Nd 3.55-3.59
Nd 0.1940 0.4467 0.5593  4 Tl 3.23-3.35, 4 Nd 3.55-3.59
Nd 0.5593 0.1940 0.4467  4 Tl 3.23-3.35, 4 Nd 3.55-3.59
Nd 0.4467 0.5593 0.1940  4 Tl 3.23-3.35, 4 Nd 3.55-3.59
Nd 0.0346 0.0917 0.3438  1 Cu 2.96, 1 Nd 3.20, 1 Tl 3.24
Nd 0.9083 0.6562 0.9654  1 Cu 2.96, 1 Nd 3.20, 1 Tl 3.24
Nd 0.6562 0.9654 0.9083  1 Cu 2.96, 1 Nd 3.20, 1 Tl 3.24
Nd 0.9654 0.9083 0.6562  1 Cu 2.96, 1 Nd 3.20, 1 Tl 3.24
Nd 0.0917 0.3438 0.0346  1 Cu 2.96, 1 Nd 3.20, 1 Tl 3.24
Nd 0.3438 0.0346 0.0917  1 Cu 2.96, 1 Nd 3.20, 1 Tl 3.24
Tl 0.6997 0.8694 0.2735  6 Nd 3.23-3.35
Tl 0.7265 0.3003 0.1306  6 Nd 3.23-3.35
Tl 0.1306 0.7265 0.3003  6 Nd 3.23-3.35
Tl 0.3003 0.1306 0.7265  6 Nd 3.23-3.35
Tl 0.2735 0.6997 0.8694  6 Nd 3.23-3.35
Tl 0.8694 0.2735 0.6997  6 Nd 3.23-3.35
Cu 0.0000 0.0000 0.0000  6 Nd 2.96

(7)
A plane-wave DFT calculation with GGA-PBE was carried out for ZrCu2Au after structural relaxation.

Values from the calculation:
Raw total energy in eV/atom: -5.00

a b c (Å): 4.6309 4.6309 3.0291
angles (deg): 90.00 90.00 85.70
Closest atoms and distances in Å follow each position.
Fractional coordinates of all 4 atoms:
Au 0.0000 0.5000 0.5000  8 Cu 2.77, 2 Au 3.03
Cu 0.0000 0.0000 0.0000  4 Au 2.77, 4 Zr 2.77, 2 Cu 3.03
Cu 0.5000 0.5000 0.0000  4 Zr 2.77, 4 Au 2.77, 2 Cu 3.03
Zr 0.5000 0.0000 0.5000  8 Cu 2.77, 2 Zr 3.03

(8)
A plane-wave DFT calculation with GGA-PBE was carried out for Cu2Mo2S after structural relaxation.

Values from the calculation:
ΔE_f (raw) in eV per atom: 0.59

a b c (Å): 5.8577 5.8577 4.1840
angles (deg): 90.00 90.00 90.00
Closest atoms and distances in Å follow each position.
Fractional coordinates of all 10 atoms:
Mo 0.1590 0.6590 0.5000  1 Mo 2.63, 6 Cu 2.67-2.73
Mo 0.6590 0.8410 0.5000  1 Mo 2.63, 6 Cu 2.67-2.73
Mo 0.8410 0.3410 0.5000  1 Mo 2.63, 6 Cu 2.67-2.73
Mo 0.3410 0.1590 0.5000  1 Mo 2.63, 6 Cu 2.67-2.73
S 0.0000 0.0000 0.0000  4 Cu 2.26
S 0.5000 0.5000 0.0000  4 Cu 2.26
Cu 0.3598 0.8598 0.0000  2 S 2.26, 1 Cu 2.32
Cu 0.8598 0.6402 0.0000  2 S 2.26, 1 Cu 2.32
Cu 0.6402 0.1402 0.0000  2 S 2.26, 1 Cu 2.32
Cu 0.1402 0.3598 0.0000  2 S 2.26, 1 Cu 2.32

(9)
A plane-wave DFT calculation with GGA-PBE was carried out for Pu3As4Pt2 after structural relaxation.

Values from the calculation:
Raw total energy in eV/atom: -8.97

a b c (Å): 4.1274 6.5813 8.5989
angles (deg): 119.76 90.00 108.27
Closest atoms and distances in Å follow each position.
Fractional coordinates of all 9 atoms:
Pu 0.6360 0.2720 0.7117  7 As 2.89-3.23, 1 Pt 3.22
Pu 0.0000 0.0000 0.0000  6 As 2.87-2.94
Pu 0.3640 0.7280 0.2883  7 As 2.89-3.23, 1 Pt 3.22
As 0.6819 0.3638 0.0829  1 Pt 2.52
As 0.3181 0.6362 0.9171  1 Pt 2.52
As 0.9337 0.8674 0.6174  3 Pt 2.51-2.77
As 0.0663 0.1326 0.3826  3 Pt 2.51-2.77
Pt 0.6767 0.3534 0.3720  4 As 2.51-2.77
Pt 0.3233 0.6466 0.6280  4 As 2.51-2.77

(10)
A plane-wave DFT calculation with GGA-PBE was carried out for Li2GeSb2 after structural relaxation.

Values from the calculation:
ΔE_f (raw) in eV per atom: -0.22

a b c (Å): 8.4620 8.4620 3.0251
angles (deg): 90.00 90.00 90.00
Closest atoms and distances in Å follow each position.
Fractional coordinates of all 10 atoms:
Sb 0.3191 0.8191 0.0000  6 Li 2.86-2.99, 2 Sb 3.03, 2 Ge 3.10
Sb 0.8191 0.6809 0.0000  6 Li 2.86-2.99, 2 Sb 3.03, 2 Ge 3.10
Sb 0.6809 0.1809 0.0000  6 Li 2.86-2.99, 2 Sb 3.03, 2 Ge 3.10
Sb 0.1809 0.3191 0.0000  6 Li 2.86-2.99, 2 Sb 3.03, 2 Ge 3.10
Ge 0.0000 0.0000 0.0000  2 Ge 3.03, 4 Sb 3.10
Ge 0.5000 0.5000 0.0000  2 Ge 3.03, 4 Sb 3.10
Li 0.1166 0.6166 0.5000  3 Li 2.79-3.03, 6 Sb 2.86-2.99
Li 0.6166 0.8834 0.5000  3 Li 2.79-3.03, 6 Sb 2.86-2.99
Li 0.8834 0.3834 0.5000  3 Li 2.79-3.03, 6 Sb 2.86-2.99
Li 0.3834 0.1166 0.5000  3 Li 2.79-3.03, 6 Sb 2.86-2.99

(11)
A plane-wave DFT calculation with GGA-PBE was carried out for NaCo3Rh after structural relaxation.

Values from the calculation:
Raw total energy in eV/atom: -4.10

a b c (Å): 4.2264 4.2264 4.2264
angles (deg): 90.00 90.00 90.00
Closest atoms and distances in Å follow each position.
Fractional coordinates of all 5 atoms:
Co 0.0000 0.5000 0.0000  2 Na 2.11
Co 0.0000 0.0000 0.5000  2 Na 2.11
Co 0.5000 0.0000 0.0000  2 Na 2.11
Rh 0.5000 0.5000 0.5000  12 Co 2.99
Na 0.0000 0.0000 0.0000  6 Co 2.11

(12)
A plane-wave DFT calculation with GGA-PBE was carried out for AcInBiTe after structural relaxation.

Values from the calculation:
ΔE_f (raw) in eV per atom: -0.70

a b c (Å): 5.5953 5.5953 8.9670
angles (deg): 90.00 90.00 90.00
Closest atoms and distances in Å follow each position.
Fractional coordinates of all 8 atoms:
Ac 0.5000 0.0000 0.6946  4 Te 3.30
Ac 0.0000 0.5000 0.3054  4 Te 3.30
In 0.5000 0.5000 0.0000  4 Bi 3.13
In 0.0000 0.0000 0.0000  4 Bi 3.13
Bi 0.0000 0.5000 0.8434  4 In 3.13
Bi 0.5000 0.0000 0.1566  4 In 3.13
Te 0.0000 0.0000 0.5000  4 Ac 3.30
Te 0.5000 0.5000 0.5000  4 Ac 3.30